3
Lattice="-3.419 -3.589 -5.354 -5.704 -4.330 -1.397 3.248 5.821 2.966" Properties=species:S:1:pos:R:3 comment="MoPBr | the Alexandria database | PBE | relaxed" n_ef_per_ev_atom=0.58 e_above_lowest_polymorph_ev_per_atom=0.0060 raw_formation_energy_ev_per_fu=-0.1 pbc="T T T"
P -6.927 -6.012 -5.126
Br -0.302 -0.262 -0.224
Mo -1.894 -1.644 -1.401